# Co2AgMo, relaxed, DFT PBE-GGA
data_Co2AgMo
_chemical_formula_sum 'Co2 Ag1 Mo1'
_cell_length_a 8.934
_cell_length_b 8.934
_cell_length_c 8.934
_cell_angle_alpha 17.38
_cell_angle_beta 17.38
_cell_angle_gamma 17.38
_space_group_name_H-M_alt 'P 1'
_space_group_IT_number 1
_space_group_name_Hall 'P 1'
loop_
_atom_site_label
_atom_site_type_symbol
_atom_site_fract_x
_atom_site_fract_y
_atom_site_fract_z
_atom_site_occupancy
Ag1 Ag 0.750 0.750 0.750 1
Co1 Co 0.996 0.996 0.996 1
Co2 Co 0.504 0.504 0.504 1
Mo1 Mo 0.250 0.250 0.250 1
# * spin magnetization: 1.71 μB per cell
# * energy of formation: 128 kJ/mol of formula units